Below is an optimized crystal structure of RbV2SeO7, with properties calculated at the PBE+U level.

abc: 19.204 5.540 7.158
angles: 90.00 90.00 90.00
Fractional positions:
Rb1 0.027 0.250 0.249
Rb2 0.473 0.750 0.749
Rb3 0.527 0.250 0.251
Rb4 0.973 0.750 0.751
V1 0.126 0.250 0.758
V2 0.191 0.750 0.047
V3 0.309 0.250 0.547
V4 0.374 0.750 0.258
V5 0.626 0.250 0.742
V6 0.691 0.750 0.453
V7 0.809 0.250 0.953
V8 0.874 0.750 0.242
Se1 0.153 0.750 0.508
Se2 0.347 0.250 0.008
Se3 0.653 0.750 0.992
Se4 0.847 0.250 0.492
O1 0.046 0.250 0.850
O2 0.100 0.512 0.561
O3 0.100 0.988 0.561
O4 0.136 0.750 0.262
O5 0.170 0.003 0.920
O6 0.170 0.497 0.920
O7 0.224 0.250 0.607
O8 0.276 0.750 0.107
O9 0.330 0.503 0.420
O10 0.330 0.997 0.420
O11 0.364 0.250 0.762
O12 0.400 0.012 0.061
O13 0.400 0.488 0.061
O14 0.454 0.750 0.350
O15 0.546 0.250 0.650
O16 0.600 0.512 0.939
O17 0.600 0.988 0.939
O18 0.636 0.750 0.238
O19 0.670 0.003 0.580
O20 0.670 0.497 0.580
O21 0.724 0.250 0.893
O22 0.776 0.750 0.393
O23 0.830 0.503 0.080
O24 0.830 0.997 0.080
O25 0.864 0.250 0.738
O26 0.900 0.012 0.439
O27 0.900 0.488 0.439
O28 0.954 0.750 0.150

Computed properties:
Total energy (eV/atom): -6.5952
D(E_F) (states/eV per cell): 0.000